A plane-wave DFT calculation with PBE was carried out for TeWSe2SBr after structural relaxation.

a = 6.483 Å, b = 8.318 Å, c = 8.406 Å
α = 105.54°, β = 105.66°, γ = 112.82°
Element x y z (fractional)
Br1 0.909 0.642 0.245
Br2 0.091 0.358 0.755
S1 0.521 0.916 0.180
S2 0.479 0.084 0.820
Se1 0.176 0.302 0.072
Se2 0.172 0.141 0.289
Se3 0.828 0.859 0.711
Se4 0.824 0.698 0.928
Te1 0.720 0.260 0.259
Te2 0.280 0.740 0.741
W1 0.777 0.000 0.000
W2 0.223 0.000 0.000

Output
- total magnetic moment (μB per formula unit) = 0.0
- ΔE to the lowest computed polymorph (meV per atom) = 64
- DFT total energy (eV/f.u.) = -30.6